# 1
VASP calculation (PBE) on an optimized crystal structure of Ta3TiOs.

Geometry as POSCAR:
```
Ta3TiOs
1.0
4.837 0.000 0.000
0.000 4.837 0.000
0.000 0.000 4.837
Ta Ti Os
3 1 1
Direct
0.000 0.000 0.500 Ta
0.000 0.500 0.000 Ta
0.500 0.000 0.000 Ta
0.500 0.500 0.500 Ti
0.000 0.000 0.000 Os
```

Output
V in Å³/cell: 113.19
E_form in kcal/mol of atoms: 26.80
E_tot in Ry per atom: -0.718
D(E_F) in states/eV per atom: 2.0693
Total magnetic moment in μB per atom: 0.00
E above lowest polymorph in meV per atom: 1049



# 2
VASP calculation (PBE) on an optimized crystal structure of TaTiOs2.

Geometry as POSCAR:
```
TaTiOs2
1.0
-2.040 2.040 8.551
2.040 -2.040 8.551
2.040 2.040 -8.551
Ta Ti Os
2 2 4
Direct
0.000 0.000 0.000 Ta
0.750 0.250 0.500 Ta
0.250 0.750 0.500 Ti
0.500 0.500 0.000 Ti
0.169 0.625 0.044 Os
0.375 0.419 0.544 Os
0.581 0.125 0.956 Os
0.875 0.831 0.456 Os
```

Output
V in Å³/cell: 142.32
E_form in kcal/mol of atoms: 13.74
E_tot in Ry per atom: -0.732
D(E_F) in states/eV per atom: 1.4015
Total magnetic moment in μB per atom: 0.00
E above lowest polymorph in meV per atom: 1088



# 3
VASP calculation (PBE) on an optimized crystal structure of TaTi6Os5.

Geometry as POSCAR:
```
TaTi6Os5
1.0
-2.204 3.115 6.615
2.204 -3.115 6.615
2.204 3.115 -6.615
Ta Ti Os
1 6 5
Direct
0.000 0.000 0.000 Ta
0.084 0.831 0.253 Ti
0.256 0.500 0.756 Ti
0.422 0.169 0.253 Ti
0.578 0.831 0.747 Ti
0.744 0.500 0.244 Ti
0.916 0.169 0.747 Ti
0.166 0.666 0.500 Os
0.333 0.333 0.000 Os
0.500 0.000 0.500 Os
0.667 0.667 0.000 Os
0.834 0.334 0.500 Os
```

Output
V in Å³/cell: 181.69
E_form in kcal/mol of atoms: -12.94
E_tot in Ry per atom: -0.748
D(E_F) in states/eV per atom: 0.7288
Total magnetic moment in μB per atom: 0.00



# 4
VASP calculation (PBE) on an optimized crystal structure of Ta3TiOs.

Geometry as POSCAR:
```
Ta3TiOs
1.0
4.579 0.000 0.000
0.000 4.579 0.000
0.000 0.000 4.579
Ta Ti Os
3 1 1
Direct
0.000 0.000 0.500 Ta
0.000 0.500 0.000 Ta
0.500 0.000 0.000 Ta
0.000 0.000 0.000 Ti
0.500 0.500 0.500 Os
```

Output
V in Å³/cell: 96.02
E_form in kcal/mol of atoms: 38.63
E_tot in Ry per atom: -0.681
D(E_F) in states/eV per atom: 1.7635
Total magnetic moment in μB per atom: 0.00
E above lowest polymorph in meV per atom: 1562



# 5
VASP calculation (PBE) on an optimized crystal structure of Ta2TiOs.

Geometry as POSCAR:
```
Ta2TiOs
1.0
4.576 0.000 0.000
0.000 4.576 0.000
0.000 0.000 3.148
Ta Ti Os
2 1 1
Direct
0.000 0.500 0.000 Ta
0.500 0.000 0.000 Ta
0.000 0.000 0.500 Ti
0.500 0.500 0.500 Os
```

Output
V in Å³/cell: 65.93
E_form in kcal/mol of atoms: -6.43
E_tot in Ry per atom: -0.807
D(E_F) in states/eV per atom: 1.1279
Total magnetic moment in μB per atom: 0.00



# 6
VASP calculation (PBE) on an optimized crystal structure of Ta2TiOs.

Geometry as POSCAR:
```
Ta2TiOs
1.0
-3.686 3.686 2.724
3.686 -3.686 2.724
3.686 3.686 -2.724
Ta Ti Os
4 2 2
Direct
0.095 0.625 0.970 Ta
0.375 0.345 0.470 Ta
0.655 0.125 0.030 Ta
0.875 0.905 0.530 Ta
0.250 0.750 0.500 Ti
0.500 0.500 0.000 Ti
0.000 0.000 0.000 Os
0.750 0.250 0.500 Os
```

Output
V in Å³/cell: 148.03
E_form in kcal/mol of atoms: 8.86
E_tot in Ry per atom: -0.759
D(E_F) in states/eV per atom: 0.8272
Total magnetic moment in μB per atom: 0.00



# 7
VASP calculation (PBE) on an optimized crystal structure of Ta5Ti2Os.

Geometry as POSCAR:
```
Ta5Ti2Os
1.0
6.592 0.000 0.000
0.000 13.059 0.000
0.000 0.000 3.206
Ta Ti Os
10 4 2
Direct
0.000 0.000 0.000 Ta
0.007 0.245 0.000 Ta
0.245 0.378 0.500 Ta
0.255 0.878 0.500 Ta
0.493 0.745 0.000 Ta
0.500 0.500 0.000 Ta
0.507 0.255 0.000 Ta
0.745 0.122 0.500 Ta
0.755 0.622 0.500 Ta
0.993 0.755 0.000 Ta
0.231 0.619 0.500 Ti
0.269 0.119 0.500 Ti
0.731 0.881 0.500 Ti
0.769 0.381 0.500 Ti
0.000 0.500 0.000 Os
0.500 0.000 0.000 Os
```

Output
V in Å³/cell: 276.00
E_form in kcal/mol of atoms: -3.14
E_tot in Ry per atom: -0.803
D(E_F) in states/eV per atom: 1.3216
Total magnetic moment in μB per atom: 0.00



# 8
VASP calculation (PBE) on an optimized crystal structure of Ta3TiOs.

Geometry as POSCAR:
```
Ta3TiOs
1.0
5.285 0.000 0.000
0.000 8.958 0.000
0.000 0.000 7.764
Ta Ti Os
12 4 4
Direct
0.073 0.056 0.166 Ta
0.073 0.444 0.166 Ta
0.222 0.250 0.485 Ta
0.278 0.750 0.985 Ta
0.427 0.556 0.666 Ta
0.427 0.944 0.666 Ta
0.573 0.056 0.334 Ta
0.573 0.444 0.334 Ta
0.722 0.250 0.015 Ta
0.778 0.750 0.515 Ta
0.927 0.556 0.834 Ta
0.927 0.944 0.834 Ta
0.200 0.250 0.844 Ti
0.300 0.750 0.344 Ti
0.700 0.250 0.656 Ti
0.800 0.750 0.156 Ti
0.000 0.000 0.500 Os
0.000 0.500 0.500 Os
0.500 0.000 0.000 Os
0.500 0.500 0.000 Os
```

Output
V in Å³/cell: 367.56
E_form in kcal/mol of atoms: 2.61
E_tot in Ry per atom: -0.795
D(E_F) in states/eV per atom: 1.1167
Total magnetic moment in μB per atom: 0.00
E above lowest polymorph in meV per atom: 0



# 9
VASP calculation (PBE) on an optimized crystal structure of Ta2TiOs.

Geometry as POSCAR:
```
Ta2TiOs
1.0
3.163 -3.160 0.000
3.163 3.160 0.000
-3.152 0.000 6.655
Ta Ti Os
4 2 2
Direct
0.000 0.500 0.000 Ta
0.131 0.131 0.262 Ta
0.500 0.000 0.000 Ta
0.869 0.869 0.738 Ta
0.367 0.367 0.735 Ti
0.633 0.633 0.265 Ti
0.250 0.750 0.500 Os
0.750 0.250 0.500 Os
```

Output
V in Å³/cell: 133.02
E_form in kcal/mol of atoms: -7.29
E_tot in Ry per atom: -0.810
D(E_F) in states/eV per atom: 0.7546
Total magnetic moment in μB per atom: 0.00



# 10
VASP calculation (PBE) on an optimized crystal structure of UTaTiOs.

Geometry as POSCAR:
```
UTaTiOs
1.0
0.000 3.255 3.255
3.255 0.000 3.255
3.255 3.255 0.000
U Ta Ti Os
1 1 1 1
Direct
0.000 0.000 0.000 U
0.250 0.250 0.250 Ta
0.750 0.750 0.750 Ti
0.500 0.500 0.500 Os
```

Output
V in Å³/cell: 68.98
E_form in kcal/mol of atoms: 1.03
E_tot in Ry per atom: -0.773
D(E_F) in states/eV per atom: 1.3805
Total magnetic moment in μB per atom: 0.22



# 11
VASP calculation (PBE) on an optimized crystal structure of TaTiVOs.

Geometry as POSCAR:
```
TaTiVOs
1.0
0.000 3.134 3.134
3.134 0.000 3.134
3.134 3.134 0.000
Ta Ti V Os
1 1 1 1
Direct
0.000 0.000 0.000 Ta
0.500 0.500 0.500 Ti
0.750 0.750 0.750 V
0.250 0.250 0.250 Os
```

Output
V in Å³/cell: 61.54
E_form in kcal/mol of atoms: -8.18
E_tot in Ry per atom: -0.763
D(E_F) in states/eV per atom: 0.9944
Total magnetic moment in μB per atom: 0.00
E above lowest polymorph in meV per atom: 0



# 12
VASP calculation (PBE) on an optimized crystal structure of TaTiVOs.

Geometry as POSCAR:
```
TaTiVOs
1.0
3.118 0.000 0.000
0.000 3.118 0.000
0.000 0.000 6.367
Ta Ti V Os
1 1 1 1
Direct
0.000 0.000 0.000 Ta
0.000 0.000 0.499 Ti
0.500 0.500 0.254 V
0.500 0.500 0.746 Os
```

Output
V in Å³/cell: 61.90
E_form in kcal/mol of atoms: -7.45
E_tot in Ry per atom: -0.760
D(E_F) in states/eV per atom: 1.0716
Total magnetic moment in μB per atom: 0.00
E above lowest polymorph in meV per atom: 32



# 13
VASP calculation (PBE) on an optimized crystal structure of TaTlOs4.

Geometry as POSCAR:
```
TaTlOs4
1.0
0.000 3.693 3.693
3.693 0.000 3.693
3.693 3.693 0.000
Ta Tl Os
1 1 4
Direct
0.000 0.000 0.000 Ta
0.750 0.750 0.750 Tl
0.375 0.375 0.375 Os
0.375 0.375 0.875 Os
0.375 0.875 0.375 Os
0.875 0.375 0.375 Os
```

Output
V in Å³/cell: 100.74
E_form in kcal/mol of atoms: 12.76
E_tot in Ry per atom: -0.684
D(E_F) in states/eV per atom: 0.7988
Total magnetic moment in μB per atom: 0.00



# 14
VASP calculation (PBE) on an optimized crystal structure of TaTl3Os.

Geometry as POSCAR:
```
TaTl3Os
1.0
5.213 0.000 0.000
0.000 5.213 0.000
0.000 0.000 5.213
Ta Tl Os
1 3 1
Direct
0.000 0.000 0.000 Ta
0.000 0.500 0.500 Tl
0.500 0.000 0.500 Tl
0.500 0.500 0.000 Tl
0.500 0.500 0.500 Os
```

Output
V in Å³/cell: 141.63
E_form in kcal/mol of atoms: 37.20
E_tot in Ry per atom: -0.325
D(E_F) in states/eV per atom: 1.1537
Total magnetic moment in μB per atom: 0.00
E above lowest polymorph in meV per atom: 0



# 15
VASP calculation (PBE) on an optimized crystal structure of Ta2Tl2Os.

Geometry as POSCAR:
```
Ta2Tl2Os
1.0
6.980 0.000 0.000
0.000 6.980 0.000
0.000 0.000 4.070
Ta Tl Os
4 4 2
Direct
0.159 0.341 0.000 Ta
0.341 0.841 0.000 Ta
0.659 0.159 0.000 Ta
0.841 0.659 0.000 Ta
0.144 0.644 0.500 Tl
0.356 0.144 0.500 Tl
0.644 0.856 0.500 Tl
0.856 0.356 0.500 Tl
0.000 0.000 0.500 Os
0.500 0.500 0.500 Os
```

Output
V in Å³/cell: 198.31
E_form in kcal/mol of atoms: 24.89
E_tot in Ry per atom: -0.504
D(E_F) in states/eV per atom: 0.7578
Total magnetic moment in μB per atom: 0.00
E above lowest polymorph in meV per atom: 0



# 16
VASP calculation (PBE) on an optimized crystal structure of Ta2TlOs.

Geometry as POSCAR:
```
Ta2TlOs
1.0
3.151 0.000 0.000
0.000 3.151 0.000
0.000 0.000 7.624
Ta Tl Os
2 1 1
Direct
0.000 0.000 0.000 Ta
0.500 0.500 0.250 Ta
0.000 0.000 0.539 Tl
0.500 0.500 0.814 Os
```

Output
V in Å³/cell: 75.68
E_form in kcal/mol of atoms: 6.81
E_tot in Ry per atom: -0.664
D(E_F) in states/eV per atom: 0.8065
Total magnetic moment in μB per atom: 0.00
E above lowest polymorph in meV per atom: 178



# 17
VASP calculation (PBE) on an optimized crystal structure of Ta2TlOs.

Geometry as POSCAR:
```
Ta2TlOs
1.0
-1.866 2.261 4.287
1.866 -2.261 4.287
1.866 2.261 -4.287
Ta Tl Os
2 1 1
Direct
0.232 0.232 0.000 Ta
0.768 0.768 0.000 Ta
0.500 0.000 0.500 Tl
0.000 0.500 0.500 Os
```

Output
V in Å³/cell: 72.37
E_form in kcal/mol of atoms: 8.40
E_tot in Ry per atom: -0.659
D(E_F) in states/eV per atom: 0.9705
Total magnetic moment in μB per atom: 0.00
E above lowest polymorph in meV per atom: 247



# 18
VASP calculation (PBE) on an optimized crystal structure of Ta2TlOs.

Geometry as POSCAR:
```
Ta2TlOs
1.0
3.014 0.000 0.000
0.000 4.021 0.000
0.000 0.000 5.973
Ta Tl Os
2 1 1
Direct
0.000 0.000 0.222 Ta
0.000 0.000 0.778 Ta
0.500 0.500 0.500 Tl
0.500 0.500 0.000 Os
```

Output
V in Å³/cell: 72.39
E_form in kcal/mol of atoms: 5.83
E_tot in Ry per atom: -0.667
D(E_F) in states/eV per atom: 0.6927
Total magnetic moment in μB per atom: 0.00
E above lowest polymorph in meV per atom: 135



# 19
VASP calculation (PBE) on an optimized crystal structure of Ta2TlOs.

Geometry as POSCAR:
```
Ta2TlOs
1.0
1.619 -2.462 0.000
1.619 2.462 0.000
0.000 0.000 9.386
Ta Tl Os
2 1 1
Direct
0.000 0.000 0.000 Ta
0.500 0.500 0.244 Ta
0.500 0.500 0.724 Tl
0.000 0.000 0.460 Os
```

Output
V in Å³/cell: 74.85
E_form in kcal/mol of atoms: 8.72
E_tot in Ry per atom: -0.658
D(E_F) in states/eV per atom: 0.8149
Total magnetic moment in μB per atom: 0.00
E above lowest polymorph in meV per atom: 261



# 20
VASP calculation (PBE) on an optimized crystal structure of Ta2TlOs.

Geometry as POSCAR:
```
Ta2TlOs
1.0
5.015 -1.553 0.000
5.015 1.553 0.000
-1.439 0.000 4.695
Ta Tl Os
2 1 1
Direct
0.000 0.000 0.000 Ta
0.249 0.249 0.760 Ta
0.477 0.477 0.482 Tl
0.719 0.719 0.223 Os
```

Output
V in Å³/cell: 73.16
E_form in kcal/mol of atoms: 7.86
E_tot in Ry per atom: -0.660
D(E_F) in states/eV per atom: 0.7678
Total magnetic moment in μB per atom: 0.00
E above lowest polymorph in meV per atom: 223



# 21
VASP calculation (PBE) on an optimized crystal structure of Ta2TlOs2.

Geometry as POSCAR:
```
Ta2TlOs2
1.0
7.876 0.000 0.000
0.000 7.876 0.000
0.000 0.000 2.996
Ta Tl Os
4 2 4
Direct
0.145 0.355 0.000 Ta
0.355 0.855 0.000 Ta
0.645 0.145 0.000 Ta
0.855 0.645 0.000 Ta
0.000 0.000 0.000 Tl
0.500 0.500 0.000 Tl
0.139 0.639 0.500 Os
0.361 0.139 0.500 Os
0.639 0.861 0.500 Os
0.861 0.361 0.500 Os
```

Output
V in Å³/cell: 185.86
E_form in kcal/mol of atoms: 4.48
E_tot in Ry per atom: -0.699
D(E_F) in states/eV per atom: 0.5810
Total magnetic moment in μB per atom: 0.00
E above lowest polymorph in meV per atom: 105



# 22
VASP calculation (PBE) on an optimized crystal structure of Ta2TlOs.

Geometry as POSCAR:
```
Ta2TlOs
1.0
-2.017 2.017 4.424
2.017 -2.017 4.424
2.017 2.017 -4.424
Ta Tl Os
2 1 1
Direct
0.000 0.000 0.000 Ta
0.750 0.250 0.500 Ta
0.250 0.750 0.500 Tl
0.500 0.500 0.000 Os
```

Output
V in Å³/cell: 71.96
E_form in kcal/mol of atoms: 10.15
E_tot in Ry per atom: -0.653
D(E_F) in states/eV per atom: 1.1279
Total magnetic moment in μB per atom: 0.00
E above lowest polymorph in meV per atom: 322



# 23
VASP calculation (PBE) on an optimized crystal structure of Ta2TlOs.

Geometry as POSCAR:
```
Ta2TlOs
1.0
2.975 0.000 0.000
0.000 4.617 0.000
-0.763 0.000 5.358
Ta Tl Os
2 1 1
Direct
0.000 0.000 0.000 Ta
0.233 0.500 0.713 Ta
0.586 0.500 0.231 Tl
0.589 0.000 0.557 Os
```

Output
V in Å³/cell: 73.61
E_form in kcal/mol of atoms: 7.76
E_tot in Ry per atom: -0.661
D(E_F) in states/eV per atom: 0.7813
Total magnetic moment in μB per atom: 0.00
E above lowest polymorph in meV per atom: 219



# 24
VASP calculation (PBE) on an optimized crystal structure of Ta2TlOs.

Geometry as POSCAR:
```
Ta2TlOs
1.0
-1.568 2.380 4.917
1.568 -2.380 4.917
1.568 2.380 -4.917
Ta Tl Os
2 1 1
Direct
0.000 0.000 0.000 Ta
0.748 0.248 0.500 Ta
0.279 0.779 0.500 Tl
0.531 0.531 0.000 Os
```

Output
V in Å³/cell: 73.42
E_form in kcal/mol of atoms: 8.29
E_tot in Ry per atom: -0.659
D(E_F) in states/eV per atom: 0.9761
Total magnetic moment in μB per atom: 0.00
E above lowest polymorph in meV per atom: 242



# 25
VASP calculation (PBE) on an optimized crystal structure of Ta2Tl2Os.

Geometry as POSCAR:
```
Ta2Tl2Os
1.0
-1.862 1.862 7.665
1.862 -1.862 7.665
1.862 1.862 -7.665
Ta Tl Os
2 2 1
Direct
0.250 0.750 0.500 Ta
0.750 0.250 0.500 Ta
0.094 0.094 0.000 Tl
0.906 0.906 0.000 Tl
0.500 0.500 0.000 Os
```

Output
V in Å³/cell: 106.29
E_form in kcal/mol of atoms: 29.81
E_tot in Ry per atom: -0.488
D(E_F) in states/eV per atom: 0.8016
Total magnetic moment in μB per atom: 0.25
E above lowest polymorph in meV per atom: 213



# 26
VASP calculation (PBE) on an optimized crystal structure of Ta2TlOs.

Geometry as POSCAR:
```
Ta2TlOs
1.0
1.552 0.896 9.151
-1.552 0.896 9.151
0.000 -1.792 9.151
Ta Tl Os
2 1 1
Direct
0.000 0.000 0.000 Ta
0.250 0.250 0.250 Ta
0.759 0.759 0.759 Tl
0.514 0.514 0.514 Os
```

Output
V in Å³/cell: 76.36
E_form in kcal/mol of atoms: 9.36
E_tot in Ry per atom: -0.656
D(E_F) in states/eV per atom: 1.1755
Total magnetic moment in μB per atom: 0.00
E above lowest polymorph in meV per atom: 289



# 27
VASP calculation (PBE) on an optimized crystal structure of Ta2TlOs.

Geometry as POSCAR:
```
Ta2TlOs
1.0
3.002 0.000 0.000
0.000 3.002 0.000
0.000 0.000 8.211
Ta Tl Os
2 1 1
Direct
0.000 0.000 0.211 Ta
0.000 0.000 0.789 Ta
0.500 0.500 0.500 Tl
0.500 0.500 0.000 Os
```

Output
V in Å³/cell: 74.00
E_form in kcal/mol of atoms: 2.71
E_tot in Ry per atom: -0.677
D(E_F) in states/eV per atom: 0.5339
Total magnetic moment in μB per atom: 0.00
E above lowest polymorph in meV per atom: 0